w | The following is a DFT calculation (PBE) of a geometry-optimized BaNd3 structure.

The space group is Pmm2 (No. 25) and the conventional cell measures 3.8013, 6.1028 and 6.8277 Å, with angles of 90.00, 90.00 and 90.00 degrees. The distinct sites, in fractional coordinates, are Ba at (0.0000, 0.0000, 0.0000), Nd at (0.0000, 0.5000, 0.6609), Nd at (0.5000, 0.0000, 0.4973) and Nd at (0.5000, 0.5000, 0.1996).

The crystal system is orthorhombic. The calculation puts the magnetic moment at 0.00 μB per cell. Its density of states at the Fermi level is 6.4 states/eV/f.u.

=====

x | The following is a DFT calculation (PBE) of a geometry-optimized BaNd3 structure.

The space group is I4/mmm (No. 139) and the conventional cell measures 5.3977, 5.3977 and 10.7529 Å, with angles of 90.00, 90.00 and 90.00 degrees. The distinct sites, in fractional coordinates, are Ba at (0.0000, 0.0000, 0.0000), Nd at (0.0000, 0.0000, 0.5000) and Nd at (0.0000, 0.5000, 0.2500).

The crystal system is tetragonal. The calculation puts the magnetic moment at 0.00 μB per cell. Its density of states at the Fermi level is 6.9 states/eV/f.u.

=====

Which of them is most stable? Easy: w.

=====

w | The following is a DFT calculation (PBE) of a geometry-optimized Ba2Nd structure.

The space group is I4/mmm (No. 139) and the conventional cell measures 4.0981, 4.0981 and 17.8874 Å, with angles of 90.00, 90.00 and 90.00 degrees. The distinct sites, in fractional coordinates, are Ba at (0.0000, 0.0000, 0.1545) and Nd at (0.0000, 0.0000, 0.5000).

The crystal system is tetragonal. The calculation puts the magnetic moment at 0.00 μB per cell. Its density of states at the Fermi level is 5.4 states/eV/f.u.

=====

x | The following is a DFT calculation (PBE) of a geometry-optimized Ba2Nd structure.

The space group is C2/m (No. 12) and the conventional cell measures 13.1981, 5.7959 and 4.0709 Å, with angles of 90.00, 107.75 and 90.00 degrees. The distinct sites, in fractional coordinates, are Ba at (0.1606, 0.0000, 0.1601) and Nd at (0.0000, 0.5000, 0.5000).

The crystal system is monoclinic. The calculation puts the magnetic moment at 0.00 μB per cell. Its density of states at the Fermi level is 4.9 states/eV/f.u.

=====

Which of them is most stable? Easy: w.